[1]
Entry from Alexandria: a relaxed structure of TbTlGeSe3 (PBE).

The structure in CIF format:
```
data_TbTlGeSe3
_chemical_formula_sum 'Tb2 Tl2 Ge2 Se6'
_space_group_name_H-M_alt 'P 1 21/m 1'
_space_group_IT_number 11
_cell_length_a 9.460
_cell_length_b 4.038
_cell_length_c 9.714
_cell_angle_alpha 90.00
_cell_angle_beta 103.89
_cell_angle_gamma 90.00
loop_
_space_group_symop_operation_xyz
'x,y,z'
'-x,-y,-z'
'-x,y+1/2,-z'
'x,-y+1/2,z'
loop_
_atom_site_label
_atom_site_fract_x
_atom_site_fract_y
_atom_site_fract_z
Tb1 0.142 0.250 0.165
Tl1 0.306 0.750 0.783
Ge1 0.379 0.750 0.452
Se1 0.078 0.250 0.859
Se2 0.202 0.250 0.469
Se3 0.366 0.750 0.190
```

E	-4.66	eV/atom
ΔE_f (raw)	-984	meV per atom
density	6.2	Mg/m³

[2]
Entry from Alexandria: a relaxed structure of Tb6TlGe2Se3 (PBE).

The structure in CIF format:
```
data_Tb6TlGe2Se3
_chemical_formula_sum 'Tb12 Tl2 Ge4 Se6'
_space_group_name_H-M_alt 'C 1 2/m 1'
_space_group_IT_number 12
_cell_length_a 18.421
_cell_length_b 4.160
_cell_length_c 8.458
_cell_angle_alpha 90.00
_cell_angle_beta 106.08
_cell_angle_gamma 90.00
loop_
_space_group_symop_operation_xyz
'x,y,z'
'-x,-y,-z'
'-x,y,-z'
'x,-y,z'
'x+1/2,y+1/2,z'
'-x+1/2,-y+1/2,-z'
'-x+1/2,y+1/2,-z'
'x+1/2,-y+1/2,z'
loop_
_atom_site_label
_atom_site_fract_x
_atom_site_fract_y
_atom_site_fract_z
Tb1 0.000 0.000 0.235
Tb2 0.171 0.500 0.071
Tb3 0.172 0.500 0.591
Tl1 0.000 0.500 0.500
Ge1 0.164 0.000 0.826
Se1 0.000 0.500 0.000
Se2 0.167 0.000 0.328
```

E	-5.41	eV/atom
ΔE_f (raw)	-1254	meV per atom
density	8.2	Mg/m³

[3]
Entry from Alexandria: a relaxed structure of Tb4TlGeSe2 (PBE).

The structure in CIF format:
```
data_Tb4TlGeSe2
_chemical_formula_sum 'Tb8 Tl2 Ge2 Se4'
_space_group_name_H-M_alt 'I -4 m 2'
_space_group_IT_number 119
_space_group_name_Hall 'I -4 -2'
_cell_length_a 5.944
_cell_length_b 5.944
_cell_length_c 11.898
_cell_angle_alpha 90.00
_cell_angle_beta 90.00
_cell_angle_gamma 90.00
loop_
_atom_site_label
_atom_site_fract_x
_atom_site_fract_y
_atom_site_fract_z
Tb1 0.000 0.000 0.241
Tb2 0.000 0.500 0.002
Tl1 0.000 0.000 0.500
Ge1 0.000 0.500 0.250
Se1 0.000 0.000 0.000
Se2 0.000 0.500 0.750
```

E	-5.24	eV/atom
ΔE_f (raw)	-1180	meV per atom
density	8.5	Mg/m³